The following is a DFT calculation (PBE) of an optimized crystal structure of NdHoPtAu.

a = 5.0915 Å, b = 5.0915 Å, c = 5.0915 Å
α = 60.00°, β = 60.00°, γ = 60.00°
Last column: nearest neighbours and their distance in Å.
Element x y z (fractional)
Au: 0.2500 0.2500 0.2500  4 Ho 3.12, 4 Nd 3.12
Pt: 0.7500 0.7500 0.7500  4 Nd 3.12, 4 Ho 3.12
Nd: 0.5000 0.5000 0.5000  4 Au 3.12, 4 Pt 3.12
Ho: 0.0000 0.0000 0.0000  4 Pt 3.12, 4 Au 3.12

## Properties
**Polymorph energy (0 for the lowest one)**: 0.057 eV per atom
**DFT formation energy**: -964.7 meV per atom
**Crystal system**: cubic